Entry 1:
InNiOs3 | meta-GGA SCAN | PBEsol geometry

Cell lengths 4.4212, 4.4212, 4.4212 Å; angles 90.00, 90.00, 90.00 degrees
Closest atoms and distances in Å follow each position.
Space group Pm-3m (No. 221)
Symmetry-distinct sites (fractional):
In: 0.0000 0.0000 0.0000 x1  12 Os 3.13
Ni: 0.5000 0.5000 0.5000 x1  6 Os 2.21
Os: 0.0000 0.5000 0.5000 x3  2 Ni 2.21

E above lowest polymorph	0	meV per atom


Entry 2:
InNiOs3 | meta-GGA SCAN | PBEsol geometry

Cell lengths 4.7343, 4.7343, 4.7343 Å; angles 90.00, 90.00, 90.00 degrees
Closest atoms and distances in Å follow each position.
Space group Pm-3m (No. 221)
Symmetry-distinct sites (fractional):
In: 0.0000 0.0000 0.0000 x1  6 Os 2.37
Ni: 0.5000 0.5000 0.5000 x1  12 Os 3.35
Os: 0.0000 0.0000 0.5000 x3  2 In 2.37

E above lowest polymorph	1608	meV per atom


Entry 3:
InNiOs2 | meta-GGA SCAN | PBEsol geometry

Cell lengths 3.7646, 3.7646, 4.0989 Å; angles 90.00, 90.00, 90.00 degrees
Closest atoms and distances in Å follow each position.
Space group P4/mmm (No. 123)
Symmetry-distinct sites (fractional):
In: 0.0000 0.0000 0.0000 x1  4 Ni 2.66, 8 Os 2.78
Ni: 0.5000 0.5000 0.0000 x1  4 In 2.66, 8 Os 2.78
Os: 0.0000 0.5000 0.5000 x2  4 Os 2.66, 4 In 2.78, 4 Ni 2.78


Entry 4:
InNiP | meta-GGA SCAN | PBEsol geometry

Cell lengths 3.2019, 3.2019, 5.4562 Å; angles 90.00, 90.00, 120.00 degrees
Closest atoms and distances in Å follow each position.
Space group P3m1 (No. 156)
Symmetry-distinct sites (fractional):
In: 0.0000 0.0000 0.0000 x1  3 Ni 2.71, 3 P 2.94
Ni: 0.3333 0.6667 0.6365 x1  3 P 2.20
P: 0.6667 0.3333 0.4181 x1  3 Ni 2.20


Number 1: formation enthalpy at 0 K 863 kJ/mol of formula units. Number 2: formation enthalpy at 0 K 1639 kJ/mol of formula units. Number 3: formation enthalpy at 0 K 213 kJ/mol of formula units. Number 4: formation enthalpy at 0 K -17 kJ/mol of formula units.